[1]
A plane-wave DFT calculation with PBE-GGA was carried out for InReAuS3 after structural relaxation.

Structure (extended XYZ):
```
12
Lattice="1.626 -8.127 0.000 1.626 8.127 0.000 0.000 0.000 9.230" Properties=species:S:1:pos:R:3 pbc="T T T"
In 1.626 5.359 6.922
In 1.626 -5.359 2.307
Re 1.626 0.000 0.000
Re 1.626 0.000 4.615
Au 1.626 5.011 2.307
Au 1.626 -5.011 6.922
S 1.626 6.372 0.249
S 1.626 6.372 4.366
S 1.626 0.560 2.307
S 1.626 -0.560 6.922
S 1.626 -6.372 4.864
S 1.626 -6.372 8.981
```

Calculated values
Final energy (eV per atom): -5.3303



[2]
A plane-wave DFT calculation with PBE-GGA was carried out for Tm after structural relaxation.

Structure (extended XYZ):
```
2
Lattice="-3.052 3.052 1.648 3.052 -3.052 1.648 3.052 3.052 -1.648" Properties=species:S:1:pos:R:3 pbc="T T T"
Tm 3.052 1.526 0.412
Tm 0.000 1.526 1.236
```

Calculated values
ΔE_f (eV per atom): 0.49
Energy above the lowest structure with this stoichiometry (meV/atom): 493.0



[3]
A plane-wave DFT calculation with PBE-GGA was carried out for TaZnPd after structural relaxation.

Structure (extended XYZ):
```
3
Lattice="0.000 3.016 3.016 3.016 0.000 3.016 3.016 3.016 0.000" Properties=species:S:1:pos:R:3 pbc="T T T"
Ta 0.000 0.000 0.000
Zn 3.016 3.016 3.016
Pd 1.508 1.508 1.508
```

Calculated values
ΔE_f (eV per atom): 0.10



[4]
A plane-wave DFT calculation with PBE-GGA was carried out for CoCuTcSn after structural relaxation.

Structure (extended XYZ):
```
4
Lattice="0.000 3.071 3.071 3.071 0.000 3.071 3.071 3.071 0.000" Properties=species:S:1:pos:R:3 pbc="T T T"
Co 0.000 0.000 0.000
Cu 3.071 3.071 3.071
Tc 1.535 1.535 1.535
Sn 4.606 4.606 4.606
```

Calculated values
Energy above the lowest structure with this stoichiometry (meV/atom): 0.0



[5]
A plane-wave DFT calculation with PBE-GGA was carried out for Gd2ErAl7Ag2 after structural relaxation.

Structure (extended XYZ):
```
12
Lattice="2.780 1.605 8.787 -2.780 1.605 8.787 0.000 -3.210 8.787" Properties=species:S:1:pos:R:3 pbc="T T T"
Gd 0.000 0.000 3.743
Gd 0.000 0.000 22.619
Er 0.000 0.000 0.000
Al -1.422 -0.821 10.991
Al 0.000 -1.642 15.372
Al -1.422 0.821 15.372
Al 0.000 0.000 13.181
Al 1.422 -0.821 10.991
Al 0.000 1.642 10.991
Al 1.422 0.821 15.372
Ag 0.000 0.000 8.847
Ag 0.000 0.000 17.515
```

Calculated values
Final energy (eV per atom): -4.2570



[6]
A plane-wave DFT calculation with PBE-GGA was carried out for ZnN after structural relaxation.

Structure (extended XYZ):
```
4
Lattice="3.007 0.000 0.000 -1.503 2.604 0.000 0.000 0.000 5.099" Properties=species:S:1:pos:R:3 pbc="T T T"
Zn 0.000 0.000 0.000
Zn 0.000 0.000 2.550
N 0.000 1.736 1.275
N 1.503 0.868 3.824
```

Calculated values
Energy above the lowest structure with this stoichiometry (meV/atom): 186.7



[7]
A plane-wave DFT calculation with PBE-GGA was carried out for HfAg2Hg after structural relaxation.

Structure (extended XYZ):
```
4
Lattice="0.000 3.364 3.364 3.364 0.000 3.364 3.364 3.364 0.000" Properties=species:S:1:pos:R:3 pbc="T T T"
Hf 0.000 0.000 0.000
Ag 1.682 1.682 1.682
Ag 3.364 3.364 3.364
Hg 5.046 5.046 5.046
```

Calculated values
ΔE_f (eV per atom): 0.03



[8]
A plane-wave DFT calculation with PBE-GGA was carried out for DyPu2Co9 after structural relaxation.

Structure (extended XYZ):
```
12
Lattice="2.371 1.369 8.062 -2.371 1.369 8.062 0.000 -2.738 8.062" Properties=species:S:1:pos:R:3 pbc="T T T"
Dy 0.000 0.000 0.000
Pu 0.000 0.000 3.515
Pu 0.000 0.000 20.672
Co -1.180 -0.681 10.070
Co 0.000 0.000 8.046
Co 0.000 -1.362 14.117
Co -1.180 0.681 14.117
Co 0.000 0.000 12.094
Co 1.180 -0.681 10.070
Co 0.000 1.362 10.070
Co 0.000 0.000 16.141
Co 1.180 0.681 14.117
```

Calculated values
ΔE_f (eV per atom): 0.04



[9]
A plane-wave DFT calculation with PBE-GGA was carried out for MgTlFeAg after structural relaxation.

Structure (extended XYZ):
```
4
Lattice="0.000 3.331 3.331 3.331 0.000 3.331 3.331 3.331 0.000" Properties=species:S:1:pos:R:3 pbc="T T T"
Mg 0.000 0.000 0.000
Tl 1.665 1.665 1.665
Fe 3.331 3.331 3.331
Ag 4.996 4.996 4.996
```

Calculated values
Energy above the lowest structure with this stoichiometry (meV/atom): 0.0



[10]
A plane-wave DFT calculation with PBE-GGA was carried out for LiZnCuGe after structural relaxation.

Structure (extended XYZ):
```
4
Lattice="0.000 3.021 3.021 3.021 0.000 3.021 3.021 3.021 0.000" Properties=species:S:1:pos:R:3 pbc="T T T"
Li 0.000 0.000 0.000
Zn 4.531 4.531 4.531
Cu 3.021 3.021 3.021
Ge 1.510 1.510 1.510
```

Calculated values
Energy above the lowest structure with this stoichiometry (meV/atom): 0.0



[11]
A plane-wave DFT calculation with PBE-GGA was carried out for ZnP2H8O10 after structural relaxation.

Structure (extended XYZ):
```
42
Lattice="6.365 0.000 0.000 1.849 6.454 0.000 0.078 0.169 9.400" Properties=species:S:1:pos:R:3 pbc="T T T"
Zn 0.000 0.000 0.000
Zn 1.332 2.764 0.628
P 2.526 4.619 2.316
P 3.688 4.303 6.661
P 4.946 5.894 3.411
P 6.081 5.740 7.435
H 0.450 0.825 7.547
H 0.951 2.289 5.315
H 1.677 3.811 7.238
H 1.296 2.016 5.917
H 0.793 0.154 3.310
H 1.129 1.006 7.881
H 3.331 5.996 5.223
H 4.686 6.139 0.262
H 4.269 2.126 9.337
H 5.326 4.246 4.842
H 5.965 3.871 1.600
H 6.131 4.416 1.108
H 5.991 3.648 6.687
H 6.885 6.489 2.612
H 5.644 2.065 3.972
H 5.702 2.204 3.239
O 1.986 6.111 2.692
O 1.749 3.779 3.425
O 2.123 4.619 0.811
O 2.852 5.304 5.819
O 2.640 3.529 7.485
O 2.544 2.876 2.431
O 2.093 0.333 4.096
O 2.085 0.284 0.511
O 2.575 1.659 9.163
O 4.091 4.829 2.521
O 4.525 5.121 7.733
O 3.693 0.445 6.472
O 4.631 3.425 5.860
O 4.038 0.209 2.468
O 5.138 2.601 9.158
O 5.825 4.975 4.279
O 6.453 6.071 8.879
O 5.237 0.209 6.460
O 6.690 4.287 7.055
O 5.986 1.791 0.717
```

Calculated values
Final energy (eV per atom): -5.1494



[12]
A plane-wave DFT calculation with PBE-GGA was carried out for La2TlCd after structural relaxation.

Structure (extended XYZ):
```
4
Lattice="5.558 0.000 0.000 0.000 5.558 0.000 0.000 0.000 4.008" Properties=species:S:1:pos:R:3 pbc="T T T"
La 0.000 2.779 0.000
La 2.779 0.000 0.000
Tl 0.000 0.000 2.004
Cd 2.779 2.779 2.004
```

Calculated values
Energy above the lowest structure with this stoichiometry (meV/atom): 10.0



> Number 1 is which compound?

InReAuS3



> What is the formula in the third record?

TaZnPd



> Which formula does entry 1 have?

InReAuS3